# Cs2TiTlI6 (PBE, optimized geometry)
# density = 4.47 g/cm3
# formation energy without anion corrections = -1.03 eV/atom
# magnetization = 1.00 μB/cell
data_Cs2TiTlI6
_symmetry_space_group_name_H-M 'P 1'
_symmetry_Int_Tables_number 1
_symmetry_space_group_name_Hall 'P 1'
_cell_length_a 8.758
_cell_length_b 8.758
_cell_length_c 8.758
_cell_angle_alpha 60.00
_cell_angle_beta 60.00
_cell_angle_gamma 90.00
loop_
_atom_site_label
_atom_site_fract_x
_atom_site_fract_y
_atom_site_fract_z
Cs1 0.750 0.250 0.500
Cs2 0.250 0.750 0.500
I1 0.272 0.272 0.457
I2 0.728 0.728 0.543
I3 0.272 0.272 0.000
I4 0.728 0.728 0.000
I5 0.728 0.272 0.000
I6 0.272 0.728 0.000
Tl1 0.000 0.000 0.000
Ti1 0.500 0.500 0.000

# CsTiTlI6 (PBE, optimized geometry)
# density = 3.99 g/cm3
# formation energy without anion corrections = -0.87 eV/atom
# magnetization = 0.00 μB/cell
data_CsTiTlI6
_symmetry_space_group_name_H-M 'P 1'
_symmetry_Int_Tables_number 1
_symmetry_space_group_name_Hall 'P 1'
_cell_length_a 8.312
_cell_length_b 8.312
_cell_length_c 7.978
_cell_angle_alpha 90.02
_cell_angle_beta 89.98
_cell_angle_gamma 59.94
loop_
_atom_site_label
_atom_site_fract_x
_atom_site_fract_y
_atom_site_fract_z
Cs1 0.000 0.000 0.000
Ti1 0.333 0.333 0.500
Tl1 0.666 0.667 0.500
I1 0.059 0.340 0.297
I2 0.340 0.059 0.703
I3 0.601 0.341 0.703
I4 0.058 0.602 0.703
I5 0.340 0.601 0.297
I6 0.602 0.058 0.297

# CsTiTl2I6 (PBE, optimized geometry)
# density = 4.63 g/cm3
# formation energy without anion corrections = -0.84 eV/atom
# magnetization = 1.00 μB/cell
data_CsTiTl2I6
_symmetry_space_group_name_H-M 'P 1'
_symmetry_Int_Tables_number 1
_symmetry_space_group_name_Hall 'P 1'
_cell_length_a 8.604
_cell_length_b 8.604
_cell_length_c 9.047
_cell_angle_alpha 61.57
_cell_angle_beta 61.56
_cell_angle_gamma 59.89
loop_
_atom_site_label
_atom_site_fract_x
_atom_site_fract_y
_atom_site_fract_z
Cs1 0.816 0.816 0.551
Ti1 0.328 0.328 0.015
Tl1 0.524 0.523 0.430
Tl2 0.005 0.006 0.984
I1 0.534 0.253 0.225
I2 0.252 0.989 0.225
I3 0.988 0.535 0.224
I4 0.385 0.678 0.787
I5 0.679 0.149 0.787
I6 0.150 0.385 0.787